[1]
Density functional theory data (PBE) for a geometry-optimized SmHoGa2Ag2 structure.

Its energy is -23.98 eV per cell. The offset from the most stable computed form comes out at 3 meV per atom.

It has space group P-6m2 (No. 187), with a = 4.6157 Å, b = 4.6157 Å, c = 7.0621 Å, α = 90.00°, β = 90.00° and γ = 120.00°. The inequivalent atoms are Sm at (0.0000, 0.0000, 0.0000), Ho at (0.0000, 0.0000, 0.5000), Ga at (0.6667, 0.3333, 0.2252) and Ag at (0.3333, 0.6667, 0.2692).

---

[2]
Density functional theory data (PBE) for a geometry-optimized TbHoGa2Ag2 structure.

Its energy is -23.95 eV per cell.

It has space group P-6m2 (No. 187), with a = 4.5919 Å, b = 4.5919 Å, c = 7.0265 Å, α = 90.00°, β = 90.00° and γ = 120.00°. The inequivalent atoms are Tb at (0.0000, 0.0000, 0.0000), Ho at (0.0000, 0.0000, 0.5000), Ga at (0.3333, 0.6667, 0.2841) and Ag at (0.6667, 0.3333, 0.2404).